Model 1:
# CaLa2InH

CaLa2InH after structural relaxation (PBE, Alexandria via LeMat-Bulk).

```
data_CaLa2InH
_chemical_formula_sum 'Ca1 La2 In1 H1'
_space_group_name_H-M_alt 'P 1'
_space_group_IT_number 1
_cell_length_a 5.025
_cell_length_b 5.025
_cell_length_c 5.191
_cell_angle_alpha 90.00
_cell_angle_beta 90.00
_cell_angle_gamma 90.00
loop_
_space_group_symop_operation_xyz
'x,y,z'
loop_
_atom_site_label
_atom_site_fract_x
_atom_site_fract_y
_atom_site_fract_z
La1 0.000 0.500 0.000
La2 0.500 0.000 0.000
In1 0.500 0.500 0.500
H1 0.000 0.000 0.000
Ca1 0.000 0.000 0.500
```

Values from the calculation:
**Size of the total moment**: 0.00 μB/f.u.

Model 2:
# CaLa2InH

CaLa2InH after structural relaxation (PBE, Alexandria via LeMat-Bulk).

```
data_CaLa2InH
_chemical_formula_sum 'Ca1 La2 In1 H1'
_space_group_name_H-M_alt 'P 1'
_space_group_IT_number 1
_cell_length_a 5.019
_cell_length_b 5.019
_cell_length_c 5.209
_cell_angle_alpha 90.00
_cell_angle_beta 90.00
_cell_angle_gamma 90.00
loop_
_space_group_symop_operation_xyz
'x,y,z'
loop_
_atom_site_label
_atom_site_fract_x
_atom_site_fract_y
_atom_site_fract_z
La1 0.000 0.500 0.000
La2 0.500 0.000 0.000
H1 0.000 0.000 0.000
Ca1 0.500 0.500 0.500
In1 0.000 0.000 0.500
```

Values from the calculation:
**Size of the total moment**: 0.00 μB/f.u.

Short version: model 1 is the most stable of them.

Model 1:
# LiCa2InH

LiCa2InH after structural relaxation (PBE, Alexandria via LeMat-Bulk).

```
data_LiCa2InH
_chemical_formula_sum 'Li1 Ca2 In1 H1'
_space_group_name_H-M_alt 'P 1'
_space_group_IT_number 1
_cell_length_a 5.076
_cell_length_b 5.076
_cell_length_c 4.491
_cell_angle_alpha 90.00
_cell_angle_beta 90.00
_cell_angle_gamma 90.00
loop_
_space_group_symop_operation_xyz
'x,y,z'
loop_
_atom_site_label
_atom_site_fract_x
_atom_site_fract_y
_atom_site_fract_z
H1 0.000 0.000 0.000
In1 0.000 0.000 0.500
Ca1 0.000 0.500 0.000
Ca2 0.500 0.000 0.000
Li1 0.500 0.500 0.500
```

Values from the calculation:
**Size of the total moment**: 0.00 μB/f.u.

Model 2:
# LiCa2InH

LiCa2InH after structural relaxation (PBE, Alexandria via LeMat-Bulk).

```
data_LiCa2InH
_chemical_formula_sum 'Li1 Ca2 In1 H1'
_space_group_name_H-M_alt 'P 1'
_space_group_IT_number 1
_cell_length_a 5.219
_cell_length_b 5.219
_cell_length_c 4.013
_cell_angle_alpha 90.00
_cell_angle_beta 90.00
_cell_angle_gamma 90.00
loop_
_space_group_symop_operation_xyz
'x,y,z'
loop_
_atom_site_label
_atom_site_fract_x
_atom_site_fract_y
_atom_site_fract_z
Li1 0.000 0.000 0.500
In1 0.500 0.500 0.500
H1 0.000 0.000 0.000
Ca1 0.000 0.500 0.000
Ca2 0.500 0.000 0.000
```

Values from the calculation:
**Size of the total moment**: 0.00 μB/f.u.

Short version: model 2 is the most stable of them.

Model 1:
# Ca2InHPb

Ca2InHPb after structural relaxation (PBE, Alexandria via LeMat-Bulk).

```
data_Ca2InHPb
_chemical_formula_sum 'Ca2 In1 H1 Pb1'
_space_group_name_H-M_alt 'P 1'
_space_group_IT_number 1
_cell_length_a 5.070
_cell_length_b 5.070
_cell_length_c 4.718
_cell_angle_alpha 90.00
_cell_angle_beta 90.00
_cell_angle_gamma 90.00
loop_
_space_group_symop_operation_xyz
'x,y,z'
loop_
_atom_site_label
_atom_site_fract_x
_atom_site_fract_y
_atom_site_fract_z
Ca1 0.000 0.500 0.000
Ca2 0.500 0.000 0.000
Pb1 0.000 0.000 0.500
In1 0.500 0.500 0.500
H1 0.000 0.000 0.000
```

Values from the calculation:
**Size of the total moment**: 0.00 μB/f.u.

Model 2:
# Ca2InHPb

Ca2InHPb after structural relaxation (PBE, Alexandria via LeMat-Bulk).

```
data_Ca2InHPb
_chemical_formula_sum 'Ca2 In1 H1 Pb1'
_space_group_name_H-M_alt 'P 1'
_space_group_IT_number 1
_cell_length_a 4.981
_cell_length_b 4.981
_cell_length_c 4.733
_cell_angle_alpha 90.00
_cell_angle_beta 90.00
_cell_angle_gamma 90.00
loop_
_space_group_symop_operation_xyz
'x,y,z'
loop_
_atom_site_label
_atom_site_fract_x
_atom_site_fract_y
_atom_site_fract_z
Ca1 0.500 0.000 0.000
Ca2 0.000 0.500 0.000
Pb1 0.500 0.500 0.500
In1 0.000 0.000 0.500
H1 0.000 0.000 0.000
```

Values from the calculation:
**Size of the total moment**: 0.00 μB/f.u.

Short version: model 2 is the most stable of them.

Model 1:
# Ca2TlInH

Ca2TlInH after structural relaxation (PBE, Alexandria via LeMat-Bulk).

```
data_Ca2TlInH
_chemical_formula_sum 'Ca2 Tl1 In1 H1'
_space_group_name_H-M_alt 'P 1'
_space_group_IT_number 1
_cell_length_a 4.904
_cell_length_b 4.904
_cell_length_c 4.779
_cell_angle_alpha 90.00
_cell_angle_beta 90.00
_cell_angle_gamma 90.00
loop_
_space_group_symop_operation_xyz
'x,y,z'
loop_
_atom_site_label
_atom_site_fract_x
_atom_site_fract_y
_atom_site_fract_z
Ca1 0.000 0.500 0.000
Ca2 0.500 0.000 0.000
Tl1 0.500 0.500 0.500
In1 0.000 0.000 0.500
H1 0.000 0.000 0.000
```

Values from the calculation:
**Size of the total moment**: 0.00 μB/f.u.

Model 2:
# Ca2TlInH

Ca2TlInH after structural relaxation (PBE, Alexandria via LeMat-Bulk).

```
data_Ca2TlInH
_chemical_formula_sum 'Ca2 Tl1 In1 H1'
_space_group_name_H-M_alt 'P 1'
_space_group_IT_number 1
_cell_length_a 4.883
_cell_length_b 4.883
_cell_length_c 4.877
_cell_angle_alpha 90.00
_cell_angle_beta 90.00
_cell_angle_gamma 90.00
loop_
_space_group_symop_operation_xyz
'x,y,z'
loop_
_atom_site_label
_atom_site_fract_x
_atom_site_fract_y
_atom_site_fract_z
In1 0.500 0.500 0.500
Ca1 0.500 0.000 0.000
Ca2 0.000 0.500 0.000
H1 0.000 0.000 0.000
Tl1 0.000 0.000 0.500
```

Values from the calculation:
**Size of the total moment**: 0.00 μB/f.u.

Model 3:
# Ca2TlInH

Ca2TlInH after structural relaxation (PBE, Alexandria via LeMat-Bulk).

```
data_Ca2TlInH
_chemical_formula_sum 'Ca2 Tl1 In1 H1'
_space_group_name_H-M_alt 'P 1'
_space_group_IT_number 1
_cell_length_a 6.095
_cell_length_b 3.992
_cell_length_c 6.095
_cell_angle_alpha 90.00
_cell_angle_beta 90.00
_cell_angle_gamma 90.00
loop_
_space_group_symop_operation_xyz
'x,y,z'
loop_
_atom_site_label
_atom_site_fract_x
_atom_site_fract_y
_atom_site_fract_z
Ca1 0.000 0.000 0.500
Ca2 0.500 0.000 0.000
In1 0.500 0.500 0.500
H1 0.000 0.500 0.000
Tl1 0.000 0.000 0.000
```

Values from the calculation:
**Size of the total moment**: 0.00 μB/f.u.

Short version: model 1 is the most stable of them.

Model 1:
# CaY2InH

CaY2InH after structural relaxation (PBE, Alexandria via LeMat-Bulk).

```
data_CaY2InH
_chemical_formula_sum 'Ca1 Y2 In1 H1'
_space_group_name_H-M_alt 'P 1'
_space_group_IT_number 1
_cell_length_a 4.886
_cell_length_b 4.886
_cell_length_c 4.914
_cell_angle_alpha 90.00
_cell_angle_beta 90.00
_cell_angle_gamma 90.00
loop_
_space_group_symop_operation_xyz
'x,y,z'
loop_
_atom_site_label
_atom_site_fract_x
_atom_site_fract_y
_atom_site_fract_z
Y1 0.500 0.000 0.000
Y2 0.000 0.500 0.000
H1 0.000 0.000 0.000
Ca1 0.000 0.000 0.500
In1 0.500 0.500 0.500
```

Values from the calculation:
**Size of the total moment**: 1.03 μB/f.u.

Model 2:
# CaY2InH

CaY2InH after structural relaxation (PBE, Alexandria via LeMat-Bulk).

```
data_CaY2InH
_chemical_formula_sum 'Ca1 Y2 In1 H1'
_space_group_name_H-M_alt 'P 1'
_space_group_IT_number 1
_cell_length_a 4.864
_cell_length_b 5.053
_cell_length_c 4.864
_cell_angle_alpha 90.00
_cell_angle_beta 90.00
_cell_angle_gamma 90.00
loop_
_space_group_symop_operation_xyz
'x,y,z'
loop_
_atom_site_label
_atom_site_fract_x
_atom_site_fract_y
_atom_site_fract_z
Ca1 0.500 0.500 0.500
In1 0.000 0.500 0.000
Y1 0.500 0.000 0.000
Y2 0.000 0.000 0.500
H1 0.000 0.000 0.000
```

Values from the calculation:
**Size of the total moment**: 0.00 μB/f.u.

Short version: model 1 is the most stable of them.

Model 1:
# CaH2Ir

CaH2Ir after structural relaxation (PBE, Alexandria via LeMat-Bulk).

```
data_CaH2Ir
_chemical_formula_sum 'Ca1 H2 Ir1'
_space_group_name_H-M_alt 'P 1'
_space_group_IT_number 1
_cell_length_a 4.034
_cell_length_b 4.034
_cell_length_c 4.034
_cell_angle_alpha 60.00
_cell_angle_beta 60.00
_cell_angle_gamma 60.00
loop_
_space_group_symop_operation_xyz
'x,y,z'
loop_
_atom_site_label
_atom_site_fract_x
_atom_site_fract_y
_atom_site_fract_z
H1 0.750 0.750 0.750
H2 0.250 0.250 0.250
Ca1 0.000 0.000 0.000
Ir1 0.500 0.500 0.500
```

Values from the calculation:
**Size of the total moment**: 0.00 μB/f.u.

Model 2:
# CaH2Ir

CaH2Ir after structural relaxation (PBE, Alexandria via LeMat-Bulk).

```
data_CaH2Ir
_chemical_formula_sum 'Ca2 H4 Ir2'
_space_group_name_H-M_alt 'P 1'
_space_group_IT_number 1
_cell_length_a 4.393
_cell_length_b 4.393
_cell_length_c 5.991
_cell_angle_alpha 68.49
_cell_angle_beta 68.49
_cell_angle_gamma 90.00
loop_
_space_group_symop_operation_xyz
'x,y,z'
loop_
_atom_site_label
_atom_site_fract_x
_atom_site_fract_y
_atom_site_fract_z
Ir1 0.000 0.000 0.000
Ir2 0.750 0.250 0.500
Ca1 0.500 0.500 0.000
Ca2 0.250 0.750 0.500
H1 0.875 0.008 0.750
H2 0.992 0.625 0.250
H3 0.375 0.242 0.750
H4 0.758 0.125 0.250
```

Values from the calculation:
**Size of the total moment**: 0.00 μB/f.u.

Short version: model 2 is the most stable of them.